Compound: Ba2SrP2
Source: Alexandria
Functional: PBE
Structure: optimized geometry

Cell lengths 8.9162, 8.9162, 3.9664 Å; angles 90.00, 90.00, 90.00 degrees
Element x y z (fractional)
Ba  0.1278  0.3722  0.0000
Ba  0.3722  0.8722  0.0000
Ba  0.6278  0.1278  0.0000
Ba  0.8722  0.6278  0.0000
Sr  0.0000  0.0000  0.0000
Sr  0.5000  0.5000  0.0000
P  0.1747  0.6747  0.5000
P  0.3253  0.1747  0.5000
P  0.6747  0.8253  0.5000
P  0.8253  0.3253  0.5000

Summary:
Polymorph energy (0 for the lowest one) ... 178 kJ/mol of formula units
Calculated volume ... 31.5 Å³ per atom
Calculated total energy ... -3.8912 eV per atom
Space group ... P4/mbm (127)
Total moment ... 0.000 μB/cell

=====

Compound: Pm3CdRh3
Source: Alexandria
Functional: PBE
Structure: optimized geometry

Cell lengths 9.0224, 9.0224, 4.6730 Å; angles 90.00, 90.00, 120.00 degrees
Element x y z (fractional)
Pm  0.0742  0.3969  0.2500
Pm  0.3228  0.9258  0.2500
Pm  0.3969  0.3228  0.7500
Pm  0.6031  0.6772  0.2500
Pm  0.6772  0.0742  0.7500
Pm  0.9258  0.6031  0.7500
Cd  0.3333  0.6667  0.7500
Cd  0.6667  0.3333  0.2500
Rh  0.0338  0.1939  0.7500
Rh  0.1601  0.9662  0.7500
Rh  0.1939  0.1601  0.2500
Rh  0.8061  0.8399  0.7500
Rh  0.8399  0.0338  0.2500
Rh  0.9662  0.8061  0.2500

Summary:
Polymorph energy (0 for the lowest one) ... 135 kJ/mol of formula units
Calculated volume ... 23.5 Å³ per atom
Calculated total energy ... -5.7669 eV per atom
Space group ... P6_3/m (176)
Total moment ... 0.000 μB/cell

=====

| no. | formation energy from the elements (eV/atom) |
| --- | --- |
| 1 | -0.62 |
| 2 | -0.45 |